[1]
Crystalline Hf4POs at its relaxed geometry. Source: Alexandria via LeMat-Bulk, functional GGA-PBE.

a b c (Å): 6.424 6.457 6.104
angles (deg): 95.84 90.00 90.00
Sites, in units of the cell vectors:
Os: 0.500 0.000 0.500
Os: 0.000 0.500 0.500
Hf: 0.159 0.863 0.641
Hf: 0.153 0.669 0.140
Hf: 0.659 0.637 0.359
Hf: 0.341 0.363 0.641
Hf: 0.347 0.169 0.140
Hf: 0.653 0.831 0.860
Hf: 0.847 0.331 0.860
Hf: 0.841 0.137 0.359
P: 0.500 0.500 0.000
P: 0.000 0.000 0.000

Properties
Calculated formation energy: -0.418 eV/atom
Space-group type: No. 14
Fermi-level density of states: 6.954 states/eV/cell
Magnetic moment: 0.00 μB/f.u.

[2]
Crystalline HfPOs2 at its relaxed geometry. Source: Alexandria via LeMat-Bulk, functional GGA-PBE.

a b c (Å): 7.115 7.115 5.682
angles (deg): 51.24 51.24 90.00
Sites, in units of the cell vectors:
P: 0.250 0.750 0.500
P: 0.500 0.500 0.000
Hf: 0.750 0.250 0.500
Hf: 0.000 0.000 0.000
Os: 0.543 0.125 0.250
Os: 0.375 0.457 0.750
Os: 0.875 0.793 0.750
Os: 0.207 0.625 0.250

Properties
Calculated formation energy: -0.068 eV/atom
Space-group type: No. 122
Fermi-level density of states: 5.423 states/eV/cell
Magnetic moment: 0.00 μB/f.u.

[3]
Crystalline HfPOs3 at its relaxed geometry. Source: Alexandria via LeMat-Bulk, functional GGA-PBE.

a b c (Å): 4.367 4.367 4.367
angles (deg): 90.00 90.00 90.00
Sites, in units of the cell vectors:
Os: 0.500 0.000 0.000
Os: 0.000 0.500 0.000
Os: 0.000 0.000 0.500
Hf: 0.500 0.500 0.500
P: 0.000 0.000 0.000

Properties
Calculated formation energy: 0.271 eV/atom
Space-group type: No. 221
Fermi-level density of states: 2.394 states/eV/cell
Magnetic moment: 0.00 μB/f.u.